# 1
MgIn2Te at its PBEsol-relaxed geometry, computed with meta-GGA SCAN.

Calculated values
ΔE_f (raw)	0.07	eV per formula unit

a b c (Å): 5.2739 5.2739 5.2739
angles (deg): 60.00 60.00 60.00
Last column: nearest neighbours and their distance in Å.
Sites, in units of the cell vectors:
In1 0.0000 0.0000 0.0000  4 Te 3.23, 4 In 3.23
In2 0.7500 0.7500 0.7500  4 In 3.23, 4 Mg 3.23
Te1 0.2500 0.2500 0.2500  4 In 3.23, 4 Mg 3.23
Mg1 0.5000 0.5000 0.5000  4 In 3.23, 4 Te 3.23

***

# 2
MgIn2Te at its PBEsol-relaxed geometry, computed with meta-GGA SCAN.

Calculated values
ΔE_f (raw)	-0.72	eV per formula unit

a b c (Å): 4.3391 4.2028 6.4901
angles (deg): 108.89 109.53 90.00
Last column: nearest neighbours and their distance in Å.
Sites, in units of the cell vectors:
Te1 0.0000 0.5000 0.0000  4 Mg 3.02
Mg1 0.5000 0.0000 0.0000  4 Te 3.02
In1 0.7607 0.7607 0.5213  4 In 3.03
In2 0.2393 0.2393 0.4787  4 In 3.03

***

# 3
MgInTe at its PBEsol-relaxed geometry, computed with meta-GGA SCAN.

Calculated values
ΔE_f (raw)	0.21	eV per formula unit

a b c (Å): 5.0875 5.0875 5.0875
angles (deg): 60.00 60.00 60.00
Last column: nearest neighbours and their distance in Å.
Sites, in units of the cell vectors:
In1 0.2500 0.2500 0.2500  4 Te 3.12, 4 Mg 3.12
Mg1 0.0000 0.0000 0.0000  4 In 3.12
Te1 0.5000 0.5000 0.5000  4 In 3.12

***

# 4
MgInTe at its PBEsol-relaxed geometry, computed with meta-GGA SCAN.

Calculated values
ΔE_f (raw)	-0.52	eV per formula unit

a b c (Å): 3.8462 3.8462 5.8650
angles (deg): 109.14 109.14 90.00
Last column: nearest neighbours and their distance in Å.
Sites, in units of the cell vectors:
Te1 0.6864 0.6864 0.3727  4 Mg 3.03, 5 In 3.25-3.34
Mg1 0.3144 0.3144 0.6288  4 Te 3.03, 5 In 3.28-3.33
In1 0.9992 0.9992 0.9984  5 Te 3.25-3.34, 5 Mg 3.28-3.33

***

# 5
MgInTe2 at its PBEsol-relaxed geometry, computed with meta-GGA SCAN.

Calculated values
ΔE_f (raw)	-0.86	eV per formula unit

a b c (Å): 3.7549 3.7549 7.4215
angles (deg): 90.00 90.00 90.00
Last column: nearest neighbours and their distance in Å.
Sites, in units of the cell vectors:
Te1 0.0000 0.0000 0.7276  4 Mg 3.15, 4 In 3.34, 1 Te 3.38
Te2 0.0000 0.0000 0.2724  4 Mg 3.15, 4 In 3.34, 1 Te 3.38
In1 0.5000 0.5000 0.0000  8 Te 3.34, 2 Mg 3.71
Mg1 0.5000 0.5000 0.5000  8 Te 3.15

***

# 6
MgInTe2 at its PBEsol-relaxed geometry, computed with meta-GGA SCAN.

Calculated values
ΔE_f (raw)	-1.97	eV per formula unit

a b c (Å): 6.5936 6.5936 8.2788
angles (deg): 113.47 113.47 90.00
Last column: nearest neighbours and their distance in Å.
Sites, in units of the cell vectors:
Te1 0.3970 0.8750 0.2500  2 Mg 2.81, 2 In 2.98
Te2 0.1250 0.1470 0.7500  2 Mg 2.81, 2 In 2.98
Mg1 0.7500 0.2500 0.5000  4 Te 2.81
In1 0.0000 0.0000 0.0000  4 Te 2.98
In2 0.2500 0.7500 0.5000  4 Te 2.98
Te3 0.8530 0.3750 0.2500  2 Mg 2.81, 2 In 2.98
Te4 0.6250 0.6030 0.7500  2 Mg 2.81, 2 In 2.98
Mg2 0.5000 0.5000 0.0000  4 Te 2.81

***

# 7
MgInTe2 at its PBEsol-relaxed geometry, computed with meta-GGA SCAN.

Calculated values
ΔE_f (raw)	-2.29	eV per formula unit

a b c (Å): 4.2545 4.2545 7.4782
angles (deg): 73.47 73.47 60.00
Last column: nearest neighbours and their distance in Å.
Sites, in units of the cell vectors:
In1 0.0000 0.0000 0.0000  6 Te 3.09
Te1 0.7551 0.7551 0.7347  3 Mg 2.96, 3 In 3.09
Te2 0.2449 0.2449 0.2653  3 Mg 2.96, 3 In 3.09
Mg1 0.5000 0.5000 0.5000  6 Te 2.96

***

# 8
MgIn2Te at its PBEsol-relaxed geometry, computed with meta-GGA SCAN.

Calculated values
ΔE_f (raw)	-0.43	eV per formula unit

a b c (Å): 3.2279 6.1777 5.9435
angles (deg): 114.11 105.76 90.00
Last column: nearest neighbours and their distance in Å.
Sites, in units of the cell vectors:
Mg1 0.4658 0.6217 0.9317  3 Te 3.07-3.11, 4 In 3.09-3.12, 2 Mg 3.23
Te1 0.1957 0.6287 0.3914  3 In 3.04-3.40, 3 Mg 3.07-3.11, 2 Te 3.23
In1 0.7963 0.1618 0.5927  5 In 3.03-3.23, 2 Mg 3.12
In2 0.0421 0.0878 0.0843  5 In 3.03-3.23, 1 Te 3.04, 2 Mg 3.09

***

# 9
Mg3InTe at its PBEsol-relaxed geometry, computed with meta-GGA SCAN.

Calculated values
ΔE_f (raw)	1.44	eV per formula unit

a b c (Å): 5.4065 5.4065 5.4065
angles (deg): 90.00 90.00 90.00
Last column: nearest neighbours and their distance in Å.
Sites, in units of the cell vectors:
Mg1 0.5000 0.0000 0.0000  2 Te 2.70
Te1 0.0000 0.0000 0.0000  6 Mg 2.70
Mg2 0.0000 0.5000 0.0000  2 Te 2.70
In1 0.5000 0.5000 0.5000  12 Mg 3.82
Mg3 0.0000 0.0000 0.5000  2 Te 2.70

***

# 10
Mg2Tl2In at its PBEsol-relaxed geometry, computed with meta-GGA SCAN.

Calculated values
DFT formation energy	-0.040	eV/atom

a b c (Å): 3.3261 8.6354 8.6354
angles (deg): 90.00 90.00 90.00
Last column: nearest neighbours and their distance in Å.
Sites, in units of the cell vectors:
Tl1 0.0000 0.6469 0.1469  6 Mg 2.97-3.07, 2 In 3.30, 2 Tl 3.33
In1 0.0000 0.5000 0.5000  4 Tl 3.30, 2 In 3.33, 8 Mg 3.68
Tl2 0.0000 0.1469 0.3531  6 Mg 2.97-3.07, 2 In 3.30, 2 Tl 3.33
Tl3 0.0000 0.8531 0.6469  6 Mg 2.97-3.07, 2 In 3.30, 2 Tl 3.33
Mg1 0.5000 0.8486 0.3486  6 Tl 2.97-3.07, 2 Mg 3.33
Tl4 0.0000 0.3531 0.8531  6 Mg 2.97-3.07, 2 In 3.30, 2 Tl 3.33
Mg2 0.5000 0.3486 0.1514  6 Tl 2.97-3.07, 2 Mg 3.33
In2 0.0000 0.0000 0.0000  4 Tl 3.30, 2 In 3.33, 8 Mg 3.68
Mg3 0.5000 0.6514 0.8486  6 Tl 2.97-3.07, 2 Mg 3.33
Mg4 0.5000 0.1514 0.6514  6 Tl 2.97-3.07, 2 Mg 3.33

***

# 11
MgTlIn at its PBEsol-relaxed geometry, computed with meta-GGA SCAN.

Calculated values
DFT formation energy	-0.042	eV/atom

a b c (Å): 3.4352 3.4352 6.7172
angles (deg): 104.38 104.38 91.65
Last column: nearest neighbours and their distance in Å.
Sites, in units of the cell vectors:
Tl1 0.3285 0.3285 0.6570  4 Mg 3.16-3.21, 4 In 3.28-3.33, 4 Tl 3.44
Mg1 0.6642 0.6642 0.3284  4 In 3.10-3.15, 4 Tl 3.16-3.21, 4 Mg 3.44
In1 0.0073 0.0073 0.0146  4 Mg 3.10-3.15, 4 Tl 3.28-3.33, 4 In 3.44

***

# 12
MgTlIn at its PBEsol-relaxed geometry, computed with meta-GGA SCAN.

Calculated values
DFT formation energy	0.003	eV/atom

a b c (Å): 3.3182 5.1170 5.1170
angles (deg): 120.00 90.00 90.00
Last column: nearest neighbours and their distance in Å.
Sites, in units of the cell vectors:
Tl1 0.3397 0.6667 0.3333  3 Mg 3.13, 3 In 3.16, 2 Tl 3.32
In1 0.0052 0.0000 0.0000  3 Tl 3.16, 3 Mg 3.17, 2 In 3.32
Mg1 0.6552 0.3333 0.6667  3 Tl 3.13, 3 In 3.17, 2 Mg 3.32

***

# 13
Mg2TlIn2 at its PBEsol-relaxed geometry, computed with meta-GGA SCAN.

Calculated values
DFT formation energy	-0.073	eV/atom

a b c (Å): 3.2988 8.6170 8.6170
angles (deg): 90.00 90.00 90.00
Last column: nearest neighbours and their distance in Å.
Sites, in units of the cell vectors:
Tl1 0.0000 0.5000 0.5000  2 Tl 3.30, 4 In 3.41, 8 Mg 3.59
Mg1 0.5000 0.6738 0.8262  6 In 2.95-3.09, 2 Mg 3.30
Mg2 0.5000 0.8262 0.3262  6 In 2.95-3.09, 2 Mg 3.30
Mg3 0.5000 0.3262 0.1738  6 In 2.95-3.09, 2 Mg 3.30
In1 0.0000 0.3748 0.8748  6 Mg 2.95-3.09, 3 In 3.05-3.30
In2 0.0000 0.8748 0.6252  6 Mg 2.95-3.09, 3 In 3.05-3.30
Mg4 0.5000 0.1738 0.6738  6 In 2.95-3.09, 2 Mg 3.30
In3 0.0000 0.1252 0.3748  6 Mg 2.95-3.09, 3 In 3.05-3.30
Tl2 0.0000 0.0000 0.0000  2 Tl 3.30, 4 In 3.41, 8 Mg 3.59
In4 0.0000 0.6252 0.1252  6 Mg 2.95-3.09, 3 In 3.05-3.30

***

# 14
MgTlIn at its PBEsol-relaxed geometry, computed with meta-GGA SCAN.

Calculated values
DFT formation energy	-0.040	eV/atom

a b c (Å): 3.3795 4.4034 5.6896
angles (deg): 112.77 107.28 90.00
Last column: nearest neighbours and their distance in Å.
Sites, in units of the cell vectors:
Tl1 0.3314 0.3314 0.6628  5 Mg 3.23-3.31, 5 In 3.25-3.26, 2 Tl 3.38
Mg1 0.6647 0.6647 0.3294  5 In 3.20-3.37, 5 Tl 3.23-3.31, 2 Mg 3.38
In1 0.0039 0.0039 0.0078  5 Mg 3.20-3.37, 5 Tl 3.25-3.26, 2 In 3.38

***

# 15
MgTlZn2In at its PBEsol-relaxed geometry, computed with meta-GGA SCAN.

Calculated values
DFT formation energy	0.582	eV/atom

a b c (Å): 5.0728 5.0728 5.7788
angles (deg): 90.00 90.00 90.00
Last column: nearest neighbours and their distance in Å.
Sites, in units of the cell vectors:
Tl1 0.0000 0.0000 0.0000  4 Zn 2.54
Zn1 0.5000 0.0000 0.0000  2 Tl 2.54
In1 0.0000 0.0000 0.5000  2 Tl 2.89
Zn2 0.0000 0.5000 0.0000  2 Tl 2.54
Mg1 0.5000 0.5000 0.5000  4 In 3.59, 8 Zn 3.84

***

Magnetic moment / μB per cell: 0.00 0.00 0.00 0.00 0.00 0.00 0.00 0.00 0.00 0.00 0.00 0.00 0.00 0.00 0.00